The following is a DFT calculation (PBE+U) of BaSrCaCrO6 after structural relaxation.

## Properties
E_tot: -6.47 eV per atom

Cell lengths 5.820, 5.820, 5.820 Å; angles 60.00, 60.00, 60.00 degrees
Positions (direct):
O (0.275, 0.275, 0.725)
O (0.725, 0.275, 0.275)
O (0.275, 0.725, 0.275)
O (0.275, 0.725, 0.725)
O (0.725, 0.275, 0.725)
O (0.725, 0.725, 0.275)
Ba (0.250, 0.250, 0.250)
Ca (0.000, 0.000, 0.000)
Cr (0.500, 0.500, 0.500)
Sr (0.750, 0.750, 0.750)